[1]
# Y2VIrI, optimized geometry, DFT GGA-PBE
# - Uncorrected formation energy: 1.024 eV/atom
# - Calculated total energy: -0.4018 Ry per atom
# - SG: P4/mmm, No. 123
data_Y2VIrI
_symmetry_space_group_name_H-M 'P 1'
_symmetry_Int_Tables_number 1
_symmetry_space_group_name_Hall 'P 1'
_cell_length_a 5.504
_cell_length_b 5.504
_cell_length_c 4.678
_cell_angle_alpha 90.00
_cell_angle_beta 90.00
_cell_angle_gamma 90.00
loop_
_atom_site_label
_atom_site_type_symbol
_atom_site_fract_x
_atom_site_fract_y
_atom_site_fract_z
Y1 Y 0.000 0.500 0.000
Y2 Y 0.500 0.000 0.000
V1 V 0.000 0.000 0.500
Ir1 Ir 0.500 0.500 0.500
I1 I 0.000 0.000 0.000

---

[2]
# Zr2VIrI, optimized geometry, DFT GGA-PBE
# - Uncorrected formation energy: 1.495 eV/atom
# - Calculated total energy: -0.4285 Ry per atom
# - SG: P4/mmm, No. 123
data_Zr2VIrI
_symmetry_space_group_name_H-M 'P 1'
_symmetry_Int_Tables_number 1
_symmetry_space_group_name_Hall 'P 1'
_cell_length_a 5.191
_cell_length_b 5.191
_cell_length_c 4.791
_cell_angle_alpha 90.00
_cell_angle_beta 90.00
_cell_angle_gamma 90.00
loop_
_atom_site_label
_atom_site_type_symbol
_atom_site_fract_x
_atom_site_fract_y
_atom_site_fract_z
Zr1 Zr 0.000 0.500 0.000
Zr2 Zr 0.500 0.000 0.000
V1 V 0.000 0.000 0.500
Ir1 Ir 0.500 0.500 0.500
I1 I 0.500 0.500 0.000

---

[3]
# Ir3WI, optimized geometry, DFT GGA-PBE
# - Uncorrected formation energy: 1.730 eV/atom
# - Calculated total energy: -0.4768 Ry per atom
# - Distance to the lowest polymorph of the same formula: 0.000 eV/atom
# - SG: Pm-3m, No. 221
data_Ir3WI
_symmetry_space_group_name_H-M 'P 1'
_symmetry_Int_Tables_number 1
_symmetry_space_group_name_Hall 'P 1'
_cell_length_a 4.823
_cell_length_b 4.823
_cell_length_c 4.823
_cell_angle_alpha 90.00
_cell_angle_beta 90.00
_cell_angle_gamma 90.00
loop_
_atom_site_label
_atom_site_type_symbol
_atom_site_fract_x
_atom_site_fract_y
_atom_site_fract_z
Ir1 Ir 0.000 0.000 0.500
Ir2 Ir 0.000 0.500 0.000
Ir3 Ir 0.500 0.000 0.000
W1 W 0.000 0.000 0.000
I1 I 0.500 0.500 0.500

---

[4]
# IrWI3, optimized geometry, DFT GGA-PBE
# - Uncorrected formation energy: 1.757 eV/atom
# - Calculated total energy: -0.2599 Ry per atom
# - Distance to the lowest polymorph of the same formula: 0.234 eV/atom
# - SG: Pm-3m, No. 221
data_IrWI3
_symmetry_space_group_name_H-M 'P 1'
_symmetry_Int_Tables_number 1
_symmetry_space_group_name_Hall 'P 1'
_cell_length_a 5.330
_cell_length_b 5.330
_cell_length_c 5.330
_cell_angle_alpha 90.00
_cell_angle_beta 90.00
_cell_angle_gamma 90.00
loop_
_atom_site_label
_atom_site_type_symbol
_atom_site_fract_x
_atom_site_fract_y
_atom_site_fract_z
Ir1 Ir 0.000 0.000 0.000
W1 W 0.500 0.500 0.500
I1 I 0.000 0.500 0.500
I2 I 0.500 0.000 0.500
I3 I 0.500 0.500 0.000

---

[5]
# Ir2WI, optimized geometry, DFT GGA-PBE
# - Uncorrected formation energy: 0.868 eV/atom
# - Calculated total energy: -0.5283 Ry per atom
# - Distance to the lowest polymorph of the same formula: 0.000 eV/atom
# - SG: I-42d, No. 122
data_Ir2WI
_symmetry_space_group_name_H-M 'P 1'
_symmetry_Int_Tables_number 1
_symmetry_space_group_name_Hall 'P 1'
_cell_length_a 6.589
_cell_length_b 6.589
_cell_length_c 6.589
_cell_angle_alpha 122.21
_cell_angle_beta 122.21
_cell_angle_gamma 86.22
loop_
_atom_site_label
_atom_site_type_symbol
_atom_site_fract_x
_atom_site_fract_y
_atom_site_fract_z
Ir1 Ir 0.092 0.625 0.967
Ir2 Ir 0.375 0.342 0.467
Ir3 Ir 0.658 0.125 0.033
Ir4 Ir 0.875 0.908 0.533
W1 W 0.000 0.000 0.000
W2 W 0.750 0.250 0.500
I1 I 0.250 0.750 0.500
I2 I 0.500 0.500 0.000

---

[6]
# IrW3I, optimized geometry, DFT GGA-PBE
# - Uncorrected formation energy: 2.109 eV/atom
# - Calculated total energy: -0.5692 Ry per atom
# - Distance to the lowest polymorph of the same formula: 0.000 eV/atom
# - SG: Pm-3m, No. 221
data_IrW3I
_symmetry_space_group_name_H-M 'P 1'
_symmetry_Int_Tables_number 1
_symmetry_space_group_name_Hall 'P 1'
_cell_length_a 4.845
_cell_length_b 4.845
_cell_length_c 4.845
_cell_angle_alpha 90.00
_cell_angle_beta 90.00
_cell_angle_gamma 90.00
loop_
_atom_site_label
_atom_site_type_symbol
_atom_site_fract_x
_atom_site_fract_y
_atom_site_fract_z
Ir1 Ir 0.000 0.000 0.000
W1 W 0.000 0.000 0.500
W2 W 0.000 0.500 0.000
W3 W 0.500 0.000 0.000
I1 I 0.500 0.500 0.500